Material: BePtS2
Method: DFT, PBE
State: relaxed

The calculation puts the uncorrected energy at -4.908 eV per atom. The uncorrected formation energy is -402 meV/atom.

The structure belongs to space group I-42d (No. 122); the cell edges are 5.275, 5.275 and 9.647 Å and the angles 90.00°, 90.00° and 90.00°. Symmetry generates all atoms from Be at (0.000, 0.000, 0.000), Pt at (0.000, 0.000, 0.500) and S at (0.208, 0.250, 0.125).